The following is a PBE-GGA calculation of crystalline Th3Mn2Ge4 at its relaxed geometry, from Alexandria.

a b c (Å): 4.301 5.992 8.345
angles (deg): 106.52 90.00 111.03
Last column: magnetic moment on the atom in μB.
Sites, in units of the cell vectors:
Ge  0.708  0.417  0.086  -0.03
Ge  0.908  0.817  0.603  -0.05
Ge  0.092  0.183  0.397  -0.05
Ge  0.292  0.583  0.914  -0.03
Th  0.623  0.247  0.696  -0.07
Mn  0.304  0.608  0.617  2.30
Mn  0.696  0.392  0.383  2.30
Th  0.000  0.000  0.000  -0.07
Th  0.377  0.753  0.304  -0.07

- V (Å³ per atom) = 21.24
- symmetry = C2/m (12)
- E_form (meV per atom) = -533
- energy (eV per cell) = -63.9